8
Lattice="-2.912 2.912 4.021 2.912 -2.912 4.021 2.912 2.912 -4.021" Properties=species:S:1:pos:R:3 comment="GGA-PBE Tl2Pd5Pt, optimized geometry" polymorph_energy_mev_per_atom=3.9 sg="I4/mmm (139)" final_energy_ev_per_atom=-4.7538 formation_energy_ev_per_atom=-0.1616 pbc="T T T"
Tl 2.912 0.000 0.000
Tl 0.000 2.912 0.000
Pd 0.000 0.000 0.000
Pd 1.456 1.456 -2.011
Pd 1.456 -1.456 2.011
Pd -1.456 1.456 2.011
Pd 1.456 1.456 2.011
Pt 0.000 0.000 4.021

5
Lattice="5.109 0.000 0.000 0.000 5.109 0.000 0.000 0.000 4.642" Properties=species:S:1:pos:R:3 comment="GGA-PBE NaMgGaS2, optimized geometry" e_form_raw_ev_per_atom=0.26 sg="P4/mmm (123)" final_energy_ev_per_atom=-2.5772 pbc="T T T"
Na 0.000 0.000 0.000
Mg 2.555 2.555 2.321
Ga 0.000 0.000 2.321
S 0.000 2.555 0.000
S 2.555 0.000 0.000

6
Lattice="4.653 0.000 0.000 0.000 4.653 0.000 0.000 0.000 6.778" Properties=species:S:1:pos:R:3 comment="GGA-PBE Sc4AlAu, optimized geometry" polymorph_energy_mev_per_atom=0.0 sg="P4/mmm (123)" final_energy_ev_per_atom=-5.6063 formation_energy_ev_per_atom=-0.2153 pbc="T T T"
Sc 0.000 2.327 1.655
Sc 0.000 2.327 5.124
Sc 2.327 0.000 1.655
Sc 2.327 0.000 5.124
Al 0.000 0.000 3.389
Au 2.327 2.327 0.000

9
Lattice="5.085 -2.468 0.000 5.085 2.468 0.000 -2.406 0.000 8.888" Properties=species:S:1:pos:R:3 comment="GGA-PBE Tb4In2Ag3, optimized geometry" sg="C2/m (12)" final_energy_ev_per_atom=-3.9474 formation_energy_ev_per_atom=-0.3305 pbc="T T T"
Tb -0.225 0.000 3.082
Tb 3.424 0.000 0.927
Tb 4.339 0.000 7.961
Tb 7.988 0.000 5.806
In 0.984 0.000 6.533
In 6.780 0.000 2.355
Ag 0.000 0.000 0.000
Ag 2.647 0.000 3.856
Ag 5.116 0.000 5.031

4
Lattice="3.696 -1.717 0.000 3.696 1.717 0.000 -1.020 0.000 6.598" Properties=species:S:1:pos:R:3 comment="GGA-PBE FeSiSe2, optimized geometry" e_form_raw_ev_per_atom=-0.05 sg="Cm (8)" final_energy_ev_per_atom=-5.2614 pbc="T T T"
Fe 0.000 0.000 0.000
Si 5.231 0.000 0.281
Se 1.430 0.000 5.179
Se 3.598 0.000 1.835

5
Lattice="4.273 0.000 0.000 0.000 4.273 0.000 0.000 0.000 4.675" Properties=species:S:1:pos:R:3 comment="GGA-PBE HfCu2SiW, optimized geometry" e_form_raw_ev_per_atom=0.51 sg="P4/mmm (123)" final_energy_ev_per_atom=-6.7980 pbc="T T T"
Hf 0.000 0.000 0.000
Cu 0.000 2.136 2.337
Cu 2.136 0.000 2.337
Si 2.136 2.136 2.337
W 2.136 2.136 0.000

6
Lattice="4.472 0.000 0.000 0.000 4.472 0.000 0.000 0.000 7.840" Properties=species:S:1:pos:R:3 comment="GGA-PBE TlCoBi, optimized geometry" sg="P4/nmm (129)" final_energy_ev_per_atom=-4.1936 formation_energy_ev_per_atom=0.2575 pbc="T T T"
Tl 1.118 1.118 1.340
Tl 3.354 3.354 6.500
Co 1.118 3.354 3.920
Co 3.354 1.118 3.920
Bi 1.118 1.118 5.275
Bi 3.354 3.354 2.565

15
Lattice="6.918 -6.551 0.000 6.918 6.551 0.000 -3.510 0.000 6.021" Properties=species:S:1:pos:R:3 comment="GGA-PBE La4Nd8Sm3, optimized geometry" sg="C2/m (12)" final_energy_ev_per_atom=-4.4912 formation_energy_ev_per_atom=0.3094 pbc="T T T"
La 0.000 0.000 0.000
La -1.755 0.000 3.011
La 3.459 3.276 0.000
La 3.459 -3.276 0.000
Nd 5.163 3.201 3.011
Nd 1.840 0.000 3.089
Nd 0.270 0.000 5.969
Nd 6.918 1.887 0.000
Nd 6.918 -1.887 0.000
Nd 10.056 0.000 0.052
Nd 8.486 0.000 2.932
Nd 5.163 -3.201 3.011
Sm 1.704 3.276 3.011
Sm 1.704 -3.276 3.011
Sm 5.163 0.000 3.011

Number 1: V 136 Å³/cell. Number 2: V 121 Å³/cell. Number 3: V 147 Å³/cell. Number 4: V 223 Å³/cell. Number 5: V 84 Å³/cell. Number 6: V 85 Å³/cell. Number 7: V 157 Å³/cell. Number 8: V 546 Å³/cell.